Record 1
! CoReTc2, PBEsol geometry, DFT meta-GGA SCAN; values from VASP
&SYSTEM
  ibrav = 0, nat = 4, ntyp = 3
/
ATOMIC_SPECIES
Co 58.93 Co.upf
Re 186.21 Re.upf
Tc 98.00 Tc.upf
ATOMIC_POSITIONS crystal
Co 0.0000 0.0000 0.0000
Re 0.5000 0.5000 0.0000
Tc 0.0000 0.5000 0.5000
Tc 0.5000 0.0000 0.5000
CELL_PARAMETERS angstrom
3.7358 0.0000 0.0000
0.0000 3.7358 0.0000
0.0000 0.0000 3.7584
! Energy of formation from the pure elements ... 73 meV per atom
! Energy relative to the lowest polymorph listed for this composition ... 0 meV/atom
! Symmetry ... P4/mmm, No. 123
! Calculated total energy ... -158.230 eV/cell
! Crystal system ... tetragonal


Record 2
! NaCoS2, PBEsol geometry, DFT meta-GGA SCAN; values from VASP
&SYSTEM
  ibrav = 0, nat = 8, ntyp = 3
/
ATOMIC_SPECIES
Na 22.99 Na.upf
Co 58.93 Co.upf
S 32.06 S.upf
ATOMIC_POSITIONS crystal
Na 0.0000 0.0000 0.0000
Na 0.7500 0.2500 0.5000
Co 0.2500 0.7500 0.5000
Co 0.5000 0.5000 0.0000
S 0.2224 0.6250 0.0974
S 0.3750 0.4724 0.5974
S 0.5276 0.1250 0.9026
S 0.8750 0.7776 0.4026
CELL_PARAMETERS angstrom
-3.2580 3.2580 3.4421
3.2580 -3.2580 3.4421
3.2580 3.2580 -3.4421
! Symmetry ... I-42d, No. 122
! Calculated total energy ... -86.559 eV/cell
! Crystal system ... tetragonal


Record 3
! CsAlAsBr2, PBEsol geometry, DFT meta-GGA SCAN; values from VASP
&SYSTEM
  ibrav = 0, nat = 5, ntyp = 4
/
ATOMIC_SPECIES
Cs 132.91 Cs.upf
Al 26.98 Al.upf
As 74.92 As.upf
Br 79.90 Br.upf
ATOMIC_POSITIONS crystal
Cs 0.0000 0.0000 0.0000
Al 0.5000 0.5000 0.5000
As 0.5000 0.5000 0.0000
Br 0.0000 0.5000 0.5000
Br 0.5000 0.0000 0.5000
CELL_PARAMETERS angstrom
5.4442 0.0000 0.0000
0.0000 5.4442 0.0000
0.0000 0.0000 4.8782
! Symmetry ... P4/mmm, No. 123
! Calculated total energy ... -108.575 eV/cell
! Crystal system ... tetragonal


Record 4
! Zr2BiPt2, PBEsol geometry, DFT meta-GGA SCAN; values from VASP
&SYSTEM
  ibrav = 0, nat = 10, ntyp = 3
/
ATOMIC_SPECIES
Zr 91.22 Zr.upf
Bi 208.98 Bi.upf
Pt 195.08 Pt.upf
ATOMIC_POSITIONS crystal
Zr 0.1628 0.3372 0.0000
Zr 0.3372 0.8372 0.0000
Zr 0.6628 0.1628 0.0000
Zr 0.8372 0.6628 0.0000
Bi 0.0000 0.0000 0.5000
Bi 0.5000 0.5000 0.5000
Pt 0.1278 0.6278 0.5000
Pt 0.3722 0.1278 0.5000
Pt 0.6278 0.8722 0.5000
Pt 0.8722 0.3722 0.5000
CELL_PARAMETERS angstrom
7.6914 0.0000 0.0000
0.0000 7.6914 0.0000
0.0000 0.0000 3.3739
! Energy of formation from the pure elements ... -993 meV per atom
! Symmetry ... P4/mbm, No. 127
! Calculated total energy ... -570.653 eV/cell
! Crystal system ... tetragonal


Record 5
! LiMgPb2, PBEsol geometry, DFT meta-GGA SCAN; values from VASP
&SYSTEM
  ibrav = 0, nat = 4, ntyp = 3
/
ATOMIC_SPECIES
Li 6.94 Li.upf
Mg 24.30 Mg.upf
Pb 207.20 Pb.upf
ATOMIC_POSITIONS crystal
Li 0.0000 0.0000 0.0000
Mg 0.0000 0.0000 0.5000
Pb 0.4991 0.5000 0.7566
Pb 0.5009 0.5000 0.2434
CELL_PARAMETERS angstrom
3.3910 0.0000 0.0000
0.0000 4.1013 0.0000
-0.1444 0.0000 6.8084
! Energy of formation from the pure elements ... -292 meV per atom
! Symmetry ... P2/m, No. 10
! Calculated total energy ... -160.095 eV/cell
! Crystal system ... monoclinic


Record 6
! MgTc2Ni, PBEsol geometry, DFT meta-GGA SCAN; values from VASP
&SYSTEM
  ibrav = 0, nat = 4, ntyp = 3
/
ATOMIC_SPECIES
Mg 24.30 Mg.upf
Tc 98.00 Tc.upf
Ni 58.69 Ni.upf
ATOMIC_POSITIONS crystal
Mg 0.0000 0.0000 0.0000
Tc 0.2849 0.7849 0.5000
Tc 0.7151 0.2151 0.5000
Ni 0.5000 0.5000 0.0000
CELL_PARAMETERS angstrom
-1.3461 2.1418 4.8875
1.3461 -2.1418 4.8875
1.3461 2.1418 -4.8875
! Energy of formation from the pure elements ... 75 meV per atom
! Symmetry ... Immm, No. 71
! Calculated total energy ... -90.967 eV/cell
! Crystal system ... orthorhombic


Record 7
! CdRe2GeOs, PBEsol geometry, DFT meta-GGA SCAN; values from VASP
&SYSTEM
  ibrav = 0, nat = 5, ntyp = 4
/
ATOMIC_SPECIES
Cd 112.41 Cd.upf
Re 186.21 Re.upf
Ge 72.64 Ge.upf
Os 190.23 Os.upf
ATOMIC_POSITIONS crystal
Cd 0.0000 0.0000 0.0000
Re 0.0000 0.5000 0.5000
Re 0.5000 0.0000 0.5000
Ge 0.5000 0.5000 0.5000
Os 0.5000 0.5000 0.0000
CELL_PARAMETERS angstrom
4.5199 0.0000 0.0000
0.0000 4.5199 0.0000
0.0000 0.0000 4.5070
! Energy of formation from the pure elements ... 1709 meV per atom
! Symmetry ... P4/mmm, No. 123
! Calculated total energy ... -255.032 eV/cell
! Crystal system ... tetragonal


Record 8
! CdGeIN2, PBEsol geometry, DFT meta-GGA SCAN; values from VASP
&SYSTEM
  ibrav = 0, nat = 5, ntyp = 4
/
ATOMIC_SPECIES
Cd 112.41 Cd.upf
Ge 72.64 Ge.upf
I 126.90 I.upf
N 14.01 N.upf
ATOMIC_POSITIONS crystal
Cd 0.0000 0.0000 0.0000
Ge 0.5000 0.5000 0.5000
I 0.5000 0.5000 0.0000
N 0.0000 0.5000 0.5000
N 0.5000 0.0000 0.5000
CELL_PARAMETERS angstrom
3.8806 0.0000 0.0000
0.0000 3.8806 0.0000
0.0000 0.0000 6.2372
! Symmetry ... P4/mmm, No. 123
! Calculated total energy ... -98.879 eV/cell
! Crystal system ... tetragonal


Record 9
! SmTmMg2, PBEsol geometry, DFT meta-GGA SCAN; values from VASP
&SYSTEM
  ibrav = 0, nat = 4, ntyp = 3
/
ATOMIC_SPECIES
Sm 150.36 Sm.upf
Tm 168.93 Tm.upf
Mg 24.30 Mg.upf
ATOMIC_POSITIONS crystal
Sm 0.0000 0.0000 0.0000
Tm 0.5000 0.5000 0.5000
Mg 0.2500 0.2500 0.2500
Mg 0.7500 0.7500 0.7500
CELL_PARAMETERS angstrom
0.0000 3.7462 3.7462
3.7462 0.0000 3.7462
3.7462 3.7462 0.0000
! Energy of formation from the pure elements ... -78 meV per atom
! Symmetry ... Fm-3m, No. 225
! Calculated total energy ... -106.534 eV/cell
! Crystal system ... cubic


Record 10
! LaY2Sc, PBEsol geometry, DFT meta-GGA SCAN; values from VASP
&SYSTEM
  ibrav = 0, nat = 4, ntyp = 3
/
ATOMIC_SPECIES
La 138.91 La.upf
Y 88.91 Y.upf
Sc 44.96 Sc.upf
ATOMIC_POSITIONS crystal
La 0.0000 0.0000 0.0000
Y 0.0000 0.2629 0.2629
Y 0.5000 0.6541 0.6541
Sc 0.5000 0.3864 0.3864
CELL_PARAMETERS angstrom
5.3939 0.0000 0.0000
0.0000 1.7180 6.4539
0.0000 -1.7180 6.4539
! Energy of formation from the pure elements ... 77 meV per atom
! Energy relative to the lowest polymorph listed for this composition ... 8 meV/atom
! Symmetry ... Amm2, No. 38
! Calculated total energy ... -112.721 eV/cell
! Crystal system ... orthorhombic


Record 11
! CaSbW2, PBEsol geometry, DFT meta-GGA SCAN; values from VASP
&SYSTEM
  ibrav = 0, nat = 4, ntyp = 3
/
ATOMIC_SPECIES
Ca 40.08 Ca.upf
Sb 121.76 Sb.upf
W 183.84 W.upf
ATOMIC_POSITIONS crystal
Ca 0.0000 0.0000 0.0000
Sb 0.5000 0.5000 0.0000
W 0.0000 0.5000 0.5000
W 0.5000 0.0000 0.5000
CELL_PARAMETERS angstrom
4.0098 0.0000 0.0000
0.0000 4.0098 0.0000
0.0000 0.0000 4.6628
! Symmetry ... P4/mmm, No. 123
! Calculated total energy ... -183.270 eV/cell
! Crystal system ... tetragonal


Record 12
! CuHgTe2, PBEsol geometry, DFT meta-GGA SCAN; values from VASP
&SYSTEM
  ibrav = 0, nat = 4, ntyp = 3
/
ATOMIC_SPECIES
Cu 63.55 Cu.upf
Hg 200.59 Hg.upf
Te 127.60 Te.upf
ATOMIC_POSITIONS crystal
Cu 0.0000 0.0000 0.0000
Hg 0.5000 0.5000 0.0000
Te 0.0000 0.5000 0.5000
Te 0.5000 0.0000 0.5000
CELL_PARAMETERS angstrom
4.8503 0.0000 0.0000
0.0000 4.8503 0.0000
0.0000 0.0000 3.8467
! Symmetry ... P4/mmm, No. 123
! Calculated total energy ... -155.895 eV/cell
! Crystal system ... tetragonal


Record 13
! NaIr2RhN, PBEsol geometry, DFT meta-GGA SCAN; values from VASP
&SYSTEM
  ibrav = 0, nat = 5, ntyp = 4
/
ATOMIC_SPECIES
Na 22.99 Na.upf
Ir 192.22 Ir.upf
Rh 102.91 Rh.upf
N 14.01 N.upf
ATOMIC_POSITIONS crystal
Na 0.0000 0.0000 0.0000
Ir 0.0000 0.5000 0.5000
Ir 0.5000 0.0000 0.5000
Rh 0.0000 0.0000 0.5000
N 0.5000 0.5000 0.0000
CELL_PARAMETERS angstrom
4.5993 0.0000 0.0000
0.0000 4.5993 0.0000
0.0000 0.0000 5.5025
! Symmetry ... P4/mmm, No. 123
! Calculated total energy ... -178.107 eV/cell
! Crystal system ... tetragonal


Record 14
! Cs2MnF4, PBEsol geometry, DFT meta-GGA SCAN; values from VASP
&SYSTEM
  ibrav = 0, nat = 7, ntyp = 3
/
ATOMIC_SPECIES
Cs 132.91 Cs.upf
Mn 54.94 Mn.upf
F 19.00 F.upf
ATOMIC_POSITIONS crystal
Cs 0.1475 0.1475 0.0000
Cs 0.8525 0.8525 0.0000
Mn 0.5000 0.5000 0.0000
F 0.0000 0.5000 0.5000
F 0.3562 0.3562 0.0000
F 0.5000 0.0000 0.5000
F 0.6438 0.6438 0.0000
CELL_PARAMETERS angstrom
-2.1561 2.1561 7.2371
2.1561 -2.1561 7.2371
2.1561 2.1561 -7.2371
! Symmetry ... I4/mmm, No. 139
! Calculated total energy ... -128.754 eV/cell
! Crystal system ... tetragonal


Magnetic moment across the listed records, respectively: 0.50, 0.00, 1.16, 0.00, 0.00, 0.00, 1.77, 0.00, 0.02, 0.00, 0.00, 0.00, 2.90, 5.00 μB/f.u..